Record 1
{"formula": "Na3Pd2Pb2", "functional": "PBE", "state": "relaxed", "ef_ev_per_atom": -0.2562, "lattice": [[4.695, -0.013, -1.493], [-2.566, 4.205, -0.030], [-0.030, -0.001, 7.978]], "species": ["Pb", "Pb", "Na", "Na", "Na", "Pd", "Pd"], "fractional_positions": [[0.814, 0.406, 0.221], [0.186, 0.594, 0.779], [0.285, 0.143, 0.428], [0.715, 0.857, 0.572], [0.000, 0.000, 0.000], [0.559, 0.280, 0.839], [0.441, 0.720, 0.161]]}

Record 2
{"formula": "Na3Pd3Pb2", "functional": "PBE", "state": "relaxed", "ef_ev_per_atom": -0.1927, "lattice": [[-2.554, 0.323, -1.893], [-0.475, -7.906, -0.707], [-3.880, 3.707, 5.868]], "species": ["Na", "Na", "Na", "Pd", "Pd", "Pd", "Pb", "Pb"], "fractional_positions": [[0.000, 0.236, 0.000], [0.000, 0.000, 0.236], [0.000, 0.764, 0.764], [0.500, 0.405, 0.405], [0.500, 0.595, 0.000], [0.500, 0.000, 0.595], [0.000, 0.667, 0.333], [0.000, 0.333, 0.667]]}

Record 3
{"formula": "NaPd6Pb12", "functional": "PBE", "state": "relaxed", "ef_ev_per_atom": -0.1246, "lattice": [[8.420, -0.154, -0.217], [-2.237, 8.119, -0.217], [-2.237, -2.881, 7.593]], "species": ["Pb", "Pb", "Pb", "Pb", "Pb", "Pb", "Pb", "Pb", "Pb", "Pb", "Pb", "Pb", "Pd", "Pd", "Pd", "Pd", "Pd", "Pd", "Na"], "fractional_positions": [[0.855, 0.598, 0.598], [0.500, 0.124, 0.876], [0.876, 0.500, 0.124], [0.876, 0.124, 0.500], [0.598, 0.855, 0.598], [0.124, 0.500, 0.876], [0.402, 0.402, 0.145], [0.145, 0.402, 0.402], [0.124, 0.876, 0.500], [0.598, 0.598, 0.855], [0.402, 0.145, 0.402], [0.500, 0.876, 0.124], [0.284, 0.284, 0.701], [0.716, 0.716, 0.299], [0.284, 0.701, 0.284], [0.701, 0.284, 0.284], [0.299, 0.716, 0.716], [0.716, 0.299, 0.716], [0.000, 0.000, 0.000]]}

Record 4
{"formula": "NaPdPb4", "functional": "PBE", "state": "relaxed", "ef_ev_per_atom": -0.1476, "lattice": [[-0.183, -0.189, -5.824], [1.674, -8.011, 0.207], [-8.125, 2.563, 3.022]], "species": ["Pb", "Pb", "Pb", "Pb", "Pb", "Pb", "Pb", "Pb", "Pd", "Pd", "Na", "Na"], "fractional_positions": [[0.382, 0.158, 0.758], [0.168, 0.670, 0.341], [0.832, 0.330, 0.659], [0.618, 0.400, 0.242], [0.382, 0.600, 0.758], [0.618, 0.842, 0.242], [0.000, 0.203, 0.000], [0.000, 0.797, 0.000], [0.745, 0.500, 0.000], [0.255, 0.500, 0.000], [0.809, 0.810, 0.620], [0.191, 0.190, 0.380]]}

Record 5
{"formula": "NaPdPb", "functional": "PBE", "state": "relaxed", "ef_ev_per_atom": -0.2705, "lattice": [[-4.255, -1.428, -1.785], [2.303, -2.990, -3.098], [1.903, -3.528, 4.820]], "species": ["Pb", "Pb", "Pd", "Pd", "Na", "Na"], "fractional_positions": [[0.123, 0.250, 0.246], [0.877, 0.750, 0.754], [0.257, 0.750, 0.514], [0.743, 0.250, 0.486], [0.590, 0.750, 0.180], [0.410, 0.250, 0.820]]}

Record 6
{"formula": "NaPdPb2", "functional": "PBE", "state": "relaxed", "ef_ev_per_atom": -0.2468, "lattice": [[-1.035, 3.072, 1.241], [-3.115, -1.345, 0.733], [2.706, -2.142, 7.562]], "species": ["Na", "Pb", "Pb", "Pd"], "fractional_positions": [[0.500, 0.500, 0.500], [0.000, 0.000, 0.798], [0.000, 0.000, 0.202], [0.500, 0.500, 0.000]]}

Record 7
{"formula": "NaPd3Pb5", "functional": "PBE", "state": "relaxed", "ef_ev_per_atom": -0.0948, "lattice": [[-0.154, 4.560, 6.280], [-6.476, -2.216, 3.662], [1.327, -4.782, 9.169]], "species": ["Pb", "Pb", "Pb", "Pb", "Pb", "Pb", "Pb", "Pb", "Pb", "Pb", "Pd", "Pd", "Pd", "Pd", "Pd", "Pd", "Na", "Na"], "fractional_positions": [[0.587, 0.587, 0.639], [0.765, 0.765, 0.020], [0.615, 0.055, 0.657], [0.945, 0.385, 0.343], [0.279, 0.721, 0.000], [0.721, 0.279, 0.000], [0.235, 0.235, 0.980], [0.055, 0.615, 0.657], [0.413, 0.413, 0.361], [0.385, 0.945, 0.343], [0.000, 0.000, 0.500], [0.649, 0.649, 0.336], [0.000, 0.000, 0.000], [0.351, 0.351, 0.664], [0.669, 0.669, 0.838], [0.331, 0.331, 0.162], [0.098, 0.098, 0.685], [0.902, 0.902, 0.315]]}

Record 8
{"formula": "Na12PdPb7", "functional": "PBE", "state": "relaxed", "ef_ev_per_atom": -0.1021, "lattice": [[-4.440, 9.974, 0.371], [2.787, -3.643, -9.914], [-4.264, -7.404, 6.807]], "species": ["Na", "Na", "Na", "Na", "Na", "Na", "Na", "Na", "Na", "Na", "Na", "Na", "Pb", "Pb", "Pb", "Pb", "Pb", "Pb", "Pb", "Pd"], "fractional_positions": [[0.491, 0.152, 0.432], [0.175, 0.002, 0.623], [0.998, 0.377, 0.825], [0.002, 0.623, 0.175], [0.432, 0.491, 0.152], [0.152, 0.432, 0.491], [0.509, 0.848, 0.568], [0.825, 0.998, 0.377], [0.848, 0.568, 0.509], [0.568, 0.509, 0.848], [0.377, 0.825, 0.998], [0.623, 0.175, 0.002], [0.688, 0.905, 0.970], [0.312, 0.095, 0.030], [0.905, 0.970, 0.688], [0.500, 0.500, 0.500], [0.030, 0.312, 0.095], [0.095, 0.030, 0.312], [0.970, 0.688, 0.905], [0.000, 0.000, 0.000]]}